DFT (PBE) results for crystalline CsCaTaPb2 at its relaxed geometry. Values from VASP.

Geometry as Quantum ESPRESSO input:
```
&SYSTEM
  ibrav = 0, nat = 5, ntyp = 4
/
ATOMIC_SPECIES
Cs 132.91 Cs.upf
Ca 40.08 Ca.upf
Pb 207.20 Pb.upf
Ta 180.95 Ta.upf
CELL_PARAMETERS angstrom
-4.6539 2.6658 -2.8805
-2.6464 -5.0015 -0.3530
-2.7071 1.0548 5.3499
ATOMIC_POSITIONS angstrom
Cs 0.0000 0.0000 0.0000
Ca -1.3232 -2.5008 -0.1765
Pb -2.3269 1.3329 -1.4403
Pb -1.3536 0.5274 2.6749
Ta -5.0037 -0.6405 1.0582
```

total energy	-11.768	eV for the cell shown
density of states at the Fermi level	6.9	states/eV/cell
size of the total moment	0.611	μB per atom

---

DFT (PBE) results for crystalline Nd2HoEr5 at its relaxed geometry. Values from VASP.

Geometry as Quantum ESPRESSO input:
```
&SYSTEM
  ibrav = 0, nat = 16, ntyp = 3
/
ATOMIC_SPECIES
Nd 144.24 Nd.upf
Er 167.26 Er.upf
Ho 164.93 Ho.upf
CELL_PARAMETERS angstrom
8.9870 -1.2623 -4.9151
-1.2421 5.7018 -1.6842
-1.4718 -0.2197 11.3976
ATOMIC_POSITIONS angstrom
Nd -0.4577 1.7462 8.4393
Er 5.5136 -0.8349 2.9576
Er 0.3365 1.7613 0.3663
Er 6.0382 -0.5294 -1.7267
Er 2.2580 1.8889 6.1886
Ho -0.7358 -0.1096 5.6989
Er 4.0153 2.3312 -1.3905
Nd 6.7306 2.4735 -3.6405
Nd 4.4157 -0.8381 6.2084
Er 0.7597 5.0545 1.8407
Ho 3.1365 2.1099 2.3993
Er -0.0629 2.5280 3.7522
Er 5.9357 2.4578 4.4324
Nd 1.8577 5.0585 -1.4102
Er 0.2354 4.7492 6.5248
Er 6.3360 1.6914 1.0460
```

total energy	-71.824	eV for the cell shown
density of states at the Fermi level	22.3	states/eV/cell
size of the total moment	0.000	μB per atom

---

DFT (PBE) results for crystalline VHg2N2 at its relaxed geometry. Values from VASP.

Geometry as Quantum ESPRESSO input:
```
&SYSTEM
  ibrav = 0, nat = 5, ntyp = 3
/
ATOMIC_SPECIES
N 14.01 N.upf
V 50.94 V.upf
Hg 200.59 Hg.upf
CELL_PARAMETERS angstrom
-2.0448 -3.1546 2.2061
-1.1466 -1.8855 -3.7589
2.0297 -4.8322 -0.7224
ATOMIC_POSITIONS angstrom
N -0.3563 -4.6189 -2.6289
N -0.8054 -5.2534 0.3536
V 0.0000 0.0000 0.0000
Hg -0.4562 -3.2468 -0.7595
Hg -0.7055 -6.6255 -1.5158
```

density of states at the Fermi level	5.5	states/eV/cell
size of the total moment	0.543	μB per atom
ΔE_f (raw)	158.1	kJ/mol of atoms

---

DFT (PBE) results for crystalline Sr2RePt at its relaxed geometry. Values from VASP.

Geometry as Quantum ESPRESSO input:
```
&SYSTEM
  ibrav = 0, nat = 4, ntyp = 3
/
ATOMIC_SPECIES
Sr 87.62 Sr.upf
Re 186.21 Re.upf
Pt 195.08 Pt.upf
CELL_PARAMETERS angstrom
-1.7324 -3.3683 2.3471
-2.3917 -1.5206 -3.9476
3.0172 -3.8719 -3.3296
ATOMIC_POSITIONS angstrom
Sr 0.4245 -5.0386 -6.9176
Re -0.1020 -5.3300 -3.4944
Pt -0.0005 -3.0814 -4.4225
Sr -0.4908 -3.3997 -1.0113
```

total energy	-21.372	eV for the cell shown
density of states at the Fermi level	5.1	states/eV/cell
size of the total moment	0.000	μB per atom

---

DFT (PBE) results for crystalline SiHgP2O at its relaxed geometry. Values from VASP.

Geometry as Quantum ESPRESSO input:
```
&SYSTEM
  ibrav = 0, nat = 5, ntyp = 4
/
ATOMIC_SPECIES
P 30.97 P.upf
O 16.00 O.upf
Si 28.09 Si.upf
Hg 200.59 Hg.upf
CELL_PARAMETERS angstrom
4.8998 0.0000 0.0000
0.0000 4.8998 0.0000
0.0000 0.0000 3.2955
ATOMIC_POSITIONS angstrom
P 0.0000 2.4499 0.0000
O 0.0000 0.0000 1.6477
P 2.4499 0.0000 0.0000
Si 0.0000 0.0000 0.0000
Hg 2.4499 2.4499 1.6477
```

density of states at the Fermi level	2.0	states/eV/cell
size of the total moment	0.000	μB per atom
ΔE_f (raw)	-13.3	kJ/mol of atoms

---

DFT (PBE) results for crystalline SbAs2W at its relaxed geometry. Values from VASP.

Geometry as Quantum ESPRESSO input:
```
&SYSTEM
  ibrav = 0, nat = 4, ntyp = 3
/
ATOMIC_SPECIES
As 74.92 As.upf
W 183.84 W.upf
Sb 121.76 Sb.upf
CELL_PARAMETERS angstrom
-1.4852 4.3041 -1.2757
-4.4508 1.3254 0.8903
-0.8775 3.2722 3.2987
ATOMIC_POSITIONS angstrom
As -1.7033 2.2255 0.7283
W -5.1100 6.6764 2.1850
Sb -3.4067 4.4509 1.4567
As 0.0000 0.0000 0.0000
```

density of states at the Fermi level	3.0	states/eV/cell
size of the total moment	0.000	μB per atom
ΔE_f (raw)	67.2	kJ/mol of atoms

---

DFT (PBE) results for crystalline PaGeS4 at its relaxed geometry. Values from VASP.

Geometry as Quantum ESPRESSO input:
```
&SYSTEM
  ibrav = 0, nat = 12, ntyp = 3
/
ATOMIC_SPECIES
Pa 231.04 Pa.upf
S 32.06 S.upf
Ge 72.64 Ge.upf
CELL_PARAMETERS angstrom
6.8570 0.5311 2.4708
-3.6364 5.8914 2.3395
-0.3278 0.5311 7.2812
ATOMIC_POSITIONS angstrom
Pa 2.4375 1.8712 3.6406
S 3.5873 3.6960 5.3580
S -2.0897 5.5180 4.6496
Pa 0.0000 0.0000 0.0000
Ge 0.4554 5.0824 8.4510
S 0.0317 2.0810 4.9711
Ge -1.9821 3.2113 4.8104
S 1.7430 5.1287 10.3741
S 1.0740 6.2127 6.5278
S 0.5630 2.7756 8.6117
S -1.5584 6.2126 8.2902
S 4.2564 2.6121 9.2044
```

density of states at the Fermi level	1.7	states/eV/cell
size of the total moment	0.000	μB per atom
ΔE_f (raw)	-92.7	kJ/mol of atoms

---

DFT (PBE) results for crystalline KTiO2 at its relaxed geometry. Values from VASP.

Geometry as Quantum ESPRESSO input:
```
&SYSTEM
  ibrav = 0, nat = 4, ntyp = 3
/
ATOMIC_SPECIES
K 39.10 K.upf
O 16.00 O.upf
Ti 47.87 Ti.upf
CELL_PARAMETERS angstrom
0.0000 2.8555 2.8555
2.8555 0.0000 2.8555
2.8555 2.8555 0.0000
ATOMIC_POSITIONS angstrom
K 0.0000 0.0000 0.0000
O 1.4277 1.4277 1.4277
Ti 2.8555 2.8555 2.8555
O 4.2832 4.2832 4.2832
```

density of states at the Fermi level	3.6	states/eV/cell
size of the total moment	0.250	μB per atom
ΔE_f (raw)	-110.0	kJ/mol of atoms

---

DFT (PBE) results for crystalline Sr2CdHg10 at its relaxed geometry. Values from VASP.

Geometry as Quantum ESPRESSO input:
```
&SYSTEM
  ibrav = 0, nat = 26, ntyp = 3
/
ATOMIC_SPECIES
Hg 200.59 Hg.upf
Sr 87.62 Sr.upf
Cd 112.41 Cd.upf
CELL_PARAMETERS angstrom
5.9303 0.0000 0.0000
0.0000 13.4643 0.0000
0.0000 0.0000 11.0463
ATOMIC_POSITIONS angstrom
Hg 0.0000 1.5424 5.8463
Hg 4.4047 4.2453 6.4454
Hg 4.4047 9.2190 4.6008
Sr 2.9652 4.5353 9.5813
Hg 0.0000 12.9659 8.0810
Hg 0.0000 10.9376 2.1005
Hg 0.0000 5.1897 0.3232
Hg 4.4047 10.9774 10.1239
Hg 0.0000 0.4984 2.9653
Hg 1.5257 10.9775 10.1239
Cd 0.0000 0.0000 0.0000
Sr 2.9652 2.1968 4.0581
Sr 2.9652 8.9290 1.4650
Hg 4.4047 2.4868 0.9223
Hg 0.0000 4.2054 3.4226
Hg 0.0000 7.2305 2.5578
Hg 0.0000 11.9219 5.1999
Hg 1.5257 2.4869 0.9223
Hg 1.5257 9.2190 4.6008
Hg 0.0000 9.2589 7.6236
Hg 0.0000 2.5267 8.9458
Hg 0.0000 8.2746 10.7231
Cd 0.0000 6.7322 5.5231
Hg 0.0000 6.2338 8.4884
Sr 2.9652 11.2675 6.9881
Hg 1.5256 4.2453 6.4454
```

total energy	-17.453	eV for the cell shown
density of states at the Fermi level	8.9	states/eV/cell
size of the total moment	0.000	μB per atom

---

Which of these has the highest size of the total moment? CsCaTaPb2